Record 1
# La8Ho3Er2

Crystalline La8Ho3Er2 at its relaxed geometry (PBE-GGA, Alexandria via LeMat-Bulk).

```
La8Ho3Er2
1.0
6.8176 -5.8996 0.0000
6.8176 5.8996 0.0000
-2.3663 0.0000 5.6678
La Ho Er
8 3 2
direct
0.0857 0.0857 0.2351
0.1009 0.5767 0.8515
0.3611 0.3611 0.3860
0.4233 0.8991 0.1485
0.5767 0.1009 0.8515
0.6389 0.6389 0.6140
0.8991 0.4233 0.1485
0.9143 0.9143 0.7649
0.2262 0.7738 0.5000
0.5000 0.5000 0.0000
0.7738 0.2262 0.5000
0.1859 0.1859 0.8176
0.8141 0.8141 0.1824
```

Calculated values
For the calculated volume, the calculation gives 35.07 Å³/atom. As for the total energy: -4.6478 eV/atom.

=====

Record 2
# La14HoEr

Crystalline La14HoEr at its relaxed geometry (PBE-GGA, Alexandria via LeMat-Bulk).

```
La14HoEr
1.0
11.8512 0.0000 0.0000
0.0000 5.7587 4.2175
0.0000 -5.7587 4.2175
La Ho Er
14 1 1
direct
0.0000 0.0000 0.0000
0.0000 0.4293 0.4293
0.0000 0.5356 0.9537
0.0000 0.9537 0.5356
0.2445 0.2455 0.8166
0.2445 0.8166 0.2455
0.2577 0.3119 0.3119
0.2644 0.7498 0.7498
0.5000 0.5216 0.9881
0.5000 0.9881 0.5216
0.7356 0.7498 0.7498
0.7423 0.3119 0.3119
0.7555 0.2455 0.8166
0.7555 0.8166 0.2455
0.5000 0.4859 0.4859
0.5000 0.0427 0.0427
```

Calculated values
For the calculated volume, the calculation gives 35.98 Å³/atom. As for the total energy: -4.8034 eV/atom.

=====

Record 3
# La2Ho6Er5

Crystalline La2Ho6Er5 at its relaxed geometry (PBE-GGA, Alexandria via LeMat-Bulk).

```
La2Ho6Er5
1.0
11.6936 0.0000 0.0000
0.0000 20.1462 0.0000
0.0000 0.0000 3.5757
La Ho Er
4 12 10
direct
0.1660 0.2203 0.0000
0.3340 0.7203 0.0000
0.6660 0.2797 0.0000
0.8340 0.7797 0.0000
0.0596 0.9243 0.0000
0.0776 0.6371 0.0000
0.1804 0.3786 0.5000
0.3196 0.8786 0.5000
0.4224 0.1371 0.0000
0.4404 0.4243 0.0000
0.5596 0.5757 0.0000
0.5776 0.8629 0.0000
0.6804 0.1214 0.5000
0.8196 0.6214 0.5000
0.9224 0.3629 0.0000
0.9404 0.0757 0.0000
0.0000 0.5000 0.5000
0.0961 0.7812 0.5000
0.2000 0.0527 0.5000
0.3000 0.5527 0.5000
0.4039 0.2812 0.5000
0.5000 0.0000 0.5000
0.5961 0.7188 0.5000
0.7000 0.4473 0.5000
0.8000 0.9473 0.5000
0.9039 0.2188 0.5000
```

Calculated values
For the calculated volume, the calculation gives 32.40 Å³/atom. As for the total energy: -4.5218 eV/atom.

=====

Record 4
# La2HoEr5

Crystalline La2HoEr5 at its relaxed geometry (PBE-GGA, Alexandria via LeMat-Bulk).

```
La2HoEr5
1.0
-2.5385 2.5385 9.9987
2.5385 -2.5385 9.9987
2.5385 2.5385 -9.9987
La Ho Er
2 1 5
direct
0.2503 0.2503 0.0000
0.7497 0.7497 0.0000
0.0000 0.0000 0.0000
0.1212 0.6212 0.5000
0.3788 0.8788 0.5000
0.5000 0.5000 0.0000
0.6212 0.1212 0.5000
0.8788 0.3788 0.5000
```

Calculated values
For the calculated volume, the calculation gives 32.22 Å³/atom. As for the energy above the most stable polymorph in this dataset: 0.00 kJ/mol of atoms.

=====

Record 5
# La3HoEr

Crystalline La3HoEr at its relaxed geometry (PBE-GGA, Alexandria via LeMat-Bulk).

```
La3HoEr
1.0
3.6035 0.0000 0.0000
0.0000 17.7080 0.0000
0.0000 0.0000 11.1186
La Ho Er
12 4 4
direct
0.2468 0.2500 0.0000
0.2468 0.2500 0.5000
0.2522 0.5753 0.0578
0.2522 0.5753 0.4422
0.2522 0.9247 0.5578
0.2522 0.9247 0.9422
0.7478 0.0753 0.0578
0.7478 0.0753 0.4422
0.7478 0.4247 0.5578
0.7478 0.4247 0.9422
0.7532 0.7500 0.0000
0.7532 0.7500 0.5000
0.2452 0.1031 0.7500
0.2452 0.3969 0.2500
0.7548 0.6031 0.7500
0.7548 0.8969 0.2500
0.2543 0.7266 0.2500
0.2543 0.7734 0.7500
0.7457 0.2266 0.2500
0.7457 0.2734 0.7500
```

Calculated values
For the calculated volume, the calculation gives 35.47 Å³/atom. As for the energy above the most stable polymorph in this dataset: 12.36 kJ/mol of atoms.

=====

Record 6
# La2Ho3Er2

Crystalline La2Ho3Er2 at its relaxed geometry (PBE-GGA, Alexandria via LeMat-Bulk).

```
La2Ho3Er2
1.0
3.5549 0.0000 0.0000
-0.0275 8.5240 0.0000
-0.0052 -4.0583 7.7043
La Ho Er
2 3 2
direct
0.0007 0.4197 0.1763
0.9993 0.5803 0.8237
0.4991 0.2689 0.4465
0.5000 0.0000 0.0000
0.5009 0.7311 0.5535
0.0043 0.1235 0.7180
0.9957 0.8765 0.2820
```

Calculated values
For the calculated volume, the calculation gives 33.35 Å³/atom. As for the energy above the most stable polymorph in this dataset: 0.00 kJ/mol of atoms.

=====

Record 7
# La6Ho12Er

Crystalline La6Ho12Er at its relaxed geometry (PBE-GGA, Alexandria via LeMat-Bulk).

```
La6Ho12Er
1.0
6.6713 3.8517 4.2308
-6.6713 3.8517 4.2308
0.0000 -7.7033 4.2308
La Ho Er
6 12 1
direct
0.1547 0.5951 0.5951
0.4049 0.4049 0.8453
0.4049 0.8453 0.4049
0.5951 0.1547 0.5951
0.5951 0.5951 0.1547
0.8453 0.4049 0.4049
0.0000 0.2544 0.7456
0.0000 0.7456 0.2544
0.1454 0.1454 0.4198
0.1454 0.4198 0.1454
0.2544 0.0000 0.7456
0.2544 0.7456 0.0000
0.4198 0.1454 0.1454
0.5802 0.8546 0.8546
0.7456 0.0000 0.2544
0.7456 0.2544 0.0000
0.8546 0.5802 0.8546
0.8546 0.8546 0.5802
0.5000 0.5000 0.5000
```

Calculated values
For the calculated volume, the calculation gives 34.33 Å³/atom. As for the energy above the most stable polymorph in this dataset: 8.30 kJ/mol of atoms.

=====

Record 8
# La2HoEr4

Crystalline La2HoEr4 at its relaxed geometry (PBE-GGA, Alexandria via LeMat-Bulk).

```
La2HoEr4
1.0
8.2666 -3.3799 0.0000
8.2666 3.3799 0.0000
-8.1352 0.0000 8.2717
La Ho Er
4 2 8
direct
0.0000 0.0000 0.0000
0.1024 0.3429 0.9729
0.6571 0.8976 0.0271
0.9973 0.0027 0.5000
0.1081 0.3453 0.4766
0.6547 0.8919 0.5234
0.2167 0.7740 0.7446
0.2260 0.7833 0.2554
0.3632 0.3341 0.8455
0.3626 0.3365 0.3526
0.6625 0.3331 0.7488
0.6635 0.6374 0.6474
0.6659 0.6368 0.1545
0.6669 0.3375 0.2512
```

Calculated values
For the calculated volume, the calculation gives 33.02 Å³/atom. As for the total energy: -4.4877 eV/atom.

=====

Record 9
# LaHo5Er8

Crystalline LaHo5Er8 at its relaxed geometry (PBE-GGA, Alexandria via LeMat-Bulk).

```
LaHo5Er8
1.0
-4.7536 4.7536 4.9669
4.7536 -4.7536 4.9669
4.7536 4.7536 -4.9669
La Ho Er
1 5 8
direct
0.0000 0.0000 0.0000
0.3106 0.6308 0.0959
0.3692 0.4651 0.6798
0.5349 0.2147 0.9041
0.7500 0.2500 0.5000
0.7853 0.6894 0.3202
0.0255 0.4263 0.2587
0.0734 0.1570 0.7357
0.1676 0.7668 0.7413
0.2332 0.9745 0.4008
0.4213 0.3377 0.2643
0.5737 0.8324 0.5992
0.6623 0.9266 0.0836
0.8430 0.5787 0.9164
```

Calculated values
For the calculated volume, the calculation gives 32.07 Å³/atom. As for the total energy: -4.3467 eV/atom.

=====

Record 10
# LaHo4Er8

Crystalline LaHo4Er8 at its relaxed geometry (PBE-GGA, Alexandria via LeMat-Bulk).

```
LaHo4Er8
1.0
3.6255 2.0932 8.9432
-3.6255 2.0932 8.9432
0.0000 -4.1863 8.9432
La Ho Er
1 4 8
direct
0.0000 0.0000 0.0000
0.0000 0.0000 0.5000
0.0000 0.5000 0.0000
0.5000 0.0000 0.0000
0.5000 0.5000 0.5000
0.2502 0.2502 0.6943
0.2502 0.6943 0.2502
0.2807 0.2807 0.2807
0.3057 0.7498 0.7498
0.6943 0.2502 0.2502
0.7193 0.7193 0.7193
0.7498 0.3057 0.7498
0.7498 0.7498 0.3057
```

Calculated values
For the calculated volume, the calculation gives 31.32 Å³/atom. As for the total energy: -4.3997 eV/atom.

=====

Record 11
# La4HoEr4

Crystalline La4HoEr4 at its relaxed geometry (PBE-GGA, Alexandria via LeMat-Bulk).

```
La4HoEr4
1.0
-4.0422 4.0422 4.8107
4.0422 -4.0422 4.8107
4.0422 4.0422 -4.8107
La Ho Er
4 1 4
direct
0.0000 0.5000 0.5000
0.1467 0.1467 0.0000
0.5000 0.0000 0.5000
0.8533 0.8533 0.0000
0.5000 0.5000 0.0000
0.0000 0.0000 0.5000
0.0000 0.5000 0.0000
0.5000 0.0000 0.0000
0.5000 0.5000 0.5000
```

Calculated values
For the calculated volume, the calculation gives 34.93 Å³/atom. As for the energy above the most stable polymorph in this dataset: 31.34 kJ/mol of atoms.

=====

Record 12
# La8Ho2Er3

Crystalline La8Ho2Er3 at its relaxed geometry (PBE-GGA, Alexandria via LeMat-Bulk).

```
La8Ho2Er3
1.0
6.8212 -5.8969 0.0000
6.8212 5.8969 0.0000
-2.3753 0.0000 5.6635
La Ho Er
8 2 3
direct
0.0857 0.0857 0.2357
0.1016 0.5769 0.8522
0.3615 0.3615 0.3843
0.4231 0.8984 0.1478
0.5769 0.1016 0.8522
0.6385 0.6385 0.6157
0.8984 0.4231 0.1478
0.9143 0.9143 0.7643
0.1855 0.1855 0.8176
0.8145 0.8145 0.1824
0.2268 0.7732 0.5000
0.5000 0.5000 0.0000
0.7732 0.2268 0.5000
```

Calculated values
For the calculated volume, the calculation gives 35.05 Å³/atom. As for the total energy: -4.6477 eV/atom.

=====

Record 13
# LaHoEr2

Crystalline LaHoEr2 at its relaxed geometry (PBE-GGA, Alexandria via LeMat-Bulk).

```
LaHoEr2
1.0
4.0974 0.0000 0.0000
0.0000 4.0974 0.0000
0.0000 0.0000 7.8311
La Ho Er
1 1 2
direct
0.0000 0.0000 0.0000
0.0000 0.0000 0.5000
0.5000 0.5000 0.2654
0.5000 0.5000 0.7346
```

Calculated values
For the calculated volume, the calculation gives 32.87 Å³/atom. As for the energy above the most stable polymorph in this dataset: 9.06 kJ/mol of atoms.

=====

Record 14
# La6HoEr5

Crystalline La6HoEr5 at its relaxed geometry (PBE-GGA, Alexandria via LeMat-Bulk).

```
La6HoEr5
1.0
6.1537 0.0000 0.0000
-0.0035 7.4154 0.0000
-0.5434 -3.7013 8.8771
La Ho Er
6 1 5
direct
0.0000 0.2501 0.0001
0.0000 0.7499 0.9999
0.3334 0.0833 0.6667
0.3334 0.5833 0.6666
0.6666 0.4167 0.3334
0.6666 0.9166 0.3333
0.5000 0.0000 0.0000
0.1663 0.1669 0.3336
0.1665 0.6667 0.3334
0.5000 0.5000 0.0000
0.8335 0.3333 0.6666
0.8337 0.8331 0.6664
```

Calculated values
For the calculated volume, the calculation gives 33.76 Å³/atom. As for the total energy: -4.7211 eV/atom.

=====

Record 15
# La3Ho2Er4

Crystalline La3Ho2Er4 at its relaxed geometry (PBE-GGA, Alexandria via LeMat-Bulk).

```
La3Ho2Er4
1.0
8.1673 -5.8997 0.0000
8.1673 5.8997 0.0000
-0.8069 0.0000 6.1067
La Ho Er
6 4 8
direct
0.1304 0.8696 0.7500
0.1997 0.4691 0.9145
0.4691 0.1997 0.4145
0.5309 0.8003 0.5855
0.8003 0.5309 0.0855
0.8696 0.1304 0.2500
0.0138 0.7639 0.2032
0.2361 0.9862 0.2968
0.7639 0.0138 0.7032
0.9862 0.2361 0.7968
0.1025 0.3459 0.3673
0.3217 0.5660 0.4637
0.3459 0.1025 0.8673
0.4340 0.6783 0.0363
0.5660 0.3217 0.9637
0.6541 0.8975 0.1327
0.6783 0.4340 0.5363
0.8975 0.6541 0.6327
```

Calculated values
For the calculated volume, the calculation gives 32.69 Å³/atom. As for the energy above the most stable polymorph in this dataset: 0.00 kJ/mol of atoms.

=====

Record 16
# La8HoEr5

Crystalline La8HoEr5 at its relaxed geometry (PBE-GGA, Alexandria via LeMat-Bulk).

```
La8HoEr5
1.0
-4.8963 4.8963 5.1843
4.8963 -4.8963 5.1843
4.8963 4.8963 -5.1843
La Ho Er
8 1 5
direct
0.1568 0.4288 0.0908
0.3380 0.0660 0.9092
0.4225 0.1584 0.3985
0.5712 0.6620 0.7280
0.7599 0.0240 0.6015
0.8416 0.2401 0.2641
0.9340 0.8432 0.2720
0.9760 0.5775 0.7359
0.2500 0.7500 0.5000
0.0000 0.0000 0.0000
0.2267 0.3209 0.6936
0.4669 0.7733 0.0942
0.6273 0.5331 0.3064
0.6791 0.3727 0.9058
```

Calculated values
For the calculated volume, the calculation gives 35.51 Å³/atom. As for the total energy: -4.5215 eV/atom.

=====

Record 17
# LaHo8Er2

Crystalline LaHo8Er2 at its relaxed geometry (PBE-GGA, Alexandria via LeMat-Bulk).

```
LaHo8Er2
1.0
-2.7339 4.0649 7.9466
2.7339 -4.0649 7.9466
2.7339 4.0649 -7.9466
La Ho Er
1 8 2
direct
0.0000 0.0000 0.0000
0.1522 0.8583 0.2939
0.1639 0.6639 0.5000
0.2966 0.5000 0.7966
0.4357 0.1417 0.2939
0.5643 0.8583 0.7061
0.7034 0.5000 0.2034
0.8361 0.3361 0.5000
0.8478 0.1417 0.7061
0.3009 0.3009 0.0000
0.6991 0.6991 0.0000
```

Calculated values
For the calculated volume, the calculation gives 32.11 Å³/atom. As for the energy above the most stable polymorph in this dataset: 0.00 kJ/mol of atoms.

=====

Record 18
# LaHo9Er2

Crystalline LaHo9Er2 at its relaxed geometry (PBE-GGA, Alexandria via LeMat-Bulk).

```
LaHo9Er2
1.0
11.2032 0.0000 0.0000
-5.6016 9.7023 0.0000
0.0000 0.0000 3.5105
La Ho Er
1 9 2
direct
0.0000 0.0000 0.0000
0.0000 0.5000 0.0000
0.1796 0.3592 0.5000
0.1796 0.8204 0.5000
0.3592 0.1796 0.5000
0.5000 0.0000 0.0000
0.5000 0.5000 0.0000
0.6408 0.8204 0.5000
0.8204 0.1796 0.5000
0.8204 0.6408 0.5000
0.3333 0.6667 0.0000
0.6667 0.3333 0.0000
```

Calculated values
For the calculated volume, the calculation gives 31.80 Å³/atom. As for the energy above the most stable polymorph in this dataset: 0.51 kJ/mol of atoms.

=====

Record 19
# LaHo4Er3

Crystalline LaHo4Er3 at its relaxed geometry (PBE-GGA, Alexandria via LeMat-Bulk).

```
LaHo4Er3
1.0
11.2719 0.0000 0.0000
0.0000 7.2580 0.0000
0.0000 0.0000 6.2563
La Ho Er
2 8 6
direct
0.0000 0.1260 0.0000
0.5000 0.8740 0.5000
0.0000 0.3776 0.5040
0.0000 0.6245 0.0025
0.2470 0.6240 0.3374
0.2530 0.3760 0.8374
0.5000 0.3755 0.5025
0.5000 0.6224 0.0040
0.7470 0.3760 0.8374
0.7530 0.6240 0.3374
0.0000 0.8724 0.5030
0.2492 0.1264 0.3369
0.2508 0.8736 0.8369
0.5000 0.1276 0.0030
0.7492 0.8736 0.8369
0.7508 0.1264 0.3369
```

Calculated values
For the calculated volume, the calculation gives 31.99 Å³/atom. As for the energy above the most stable polymorph in this dataset: 0.00 kJ/mol of atoms.